Record 1
The following is a DFT calculation (PBE) of crystalline CaAlGaCu at its relaxed geometry.

Unit cell a=4.7017 b=4.7017 c=4.7017 alpha=60.00 beta=60.00 gamma=60.00
Positions (direct):
Ca  0.5000  0.5000  0.5000
Cu  0.2500  0.2500  0.2500
Ga  0.7500  0.7500  0.7500
Al  0.0000  0.0000  0.0000

## Properties
Formation energy ... -70 kJ/mol of formula units
Crystal system ... cubic
DOS(E_F) ... 1.95 states/eV per cell
Total DFT energy (no corrections) ... -3.40 eV per atom
Magnetic moment ... 0.00 Bohr magnetons per cell

Record 2
The following is a DFT calculation (PBE) of crystalline ErSiH at its relaxed geometry.

Unit cell a=4.5725 b=3.5110 c=3.5110 alpha=120.00 beta=90.00 gamma=90.00
Positions (direct):
H  0.1676  0.3333  0.6667
Si  0.6662  0.6667  0.3333
Er  0.1662  0.0000  0.0000

## Properties
Crystal system ... trigonal
DOS(E_F) ... 0.70 states/eV per cell
Total DFT energy (no corrections) ... -4.80 eV per atom
Magnetic moment ... 0.00 Bohr magnetons per cell

Record 3
The following is a DFT calculation (PBE) of crystalline KSrPbCl6 at its relaxed geometry.

Unit cell a=7.3971 b=7.3971 c=13.4536 alpha=90.00 beta=90.00 gamma=120.00
Positions (direct):
K  0.0000  0.0000  0.0000
K  0.0000  0.0000  0.5000
Sr  0.3333  0.6667  0.2500
Sr  0.6667  0.3333  0.7500
Pb  0.6667  0.3333  0.2500
Pb  0.3333  0.6667  0.7500
Cl  0.6455  0.6281  0.1339
Cl  0.9826  0.3544  0.1339
Cl  0.3545  0.9826  0.6339
Cl  0.0174  0.6456  0.8661
Cl  0.3719  0.3544  0.3661
Cl  0.9826  0.6281  0.3661
Cl  0.6281  0.9826  0.8661
Cl  0.6455  0.0174  0.3661
Cl  0.0174  0.3719  0.6339
Cl  0.3719  0.0174  0.1339
Cl  0.6281  0.6456  0.6339
Cl  0.3545  0.3719  0.8661

## Properties
ΔE_f (raw) ... -14.51 eV/f.u.
Crystal system ... trigonal
DOS(E_F) ... 12.59 states/eV per cell
Total DFT energy (no corrections) ... -3.56 eV per atom
Magnetic moment ... 1.03 Bohr magnetons per cell

Record 4
The following is a DFT calculation (PBE) of crystalline Pm2HoNi2 at its relaxed geometry.

Unit cell a=4.3626 b=5.4516 c=11.2428 alpha=114.06 beta=90.00 gamma=90.00
Positions (direct):
Pm  0.2500  0.7657  0.8784
Pm  0.7500  0.2343  0.1216
Pm  0.2500  0.2909  0.5370
Pm  0.7500  0.7091  0.4630
Ho  0.2500  0.8141  0.2068
Ho  0.7500  0.1859  0.7932
Ni  0.2500  0.8956  0.6423
Ni  0.7500  0.1044  0.3577
Ni  0.2500  0.3442  0.9752
Ni  0.7500  0.6558  0.0248

## Properties
Formation energy ... -126 kJ/mol of formula units
Crystal system ... monoclinic
DOS(E_F) ... 7.41 states/eV per cell
Total DFT energy (no corrections) ... -5.39 eV per atom
Magnetic moment ... 0.00 Bohr magnetons per cell

Record 5
The following is a DFT calculation (PBE) of crystalline KHfMg2Zn at its relaxed geometry.

Unit cell a=5.8297 b=6.8363 c=5.8297 alpha=90.00 beta=90.00 gamma=90.00
Positions (direct):
Mg  0.0000  0.0000  0.5000
Mg  0.5000  0.0000  0.0000
Zn  0.5000  0.5000  0.5000
Hf  0.0000  0.0000  0.0000
K  0.0000  0.5000  0.0000

## Properties
Formation energy ... 617 kJ/mol of formula units
Crystal system ... tetragonal
DOS(E_F) ... 6.89 states/eV per cell
Total DFT energy (no corrections) ... -1.82 eV per atom
Magnetic moment ... 2.92 Bohr magnetons per cell

Record 6
The following is a DFT calculation (PBE) of crystalline LaSc3Ag at its relaxed geometry.

Unit cell a=5.1789 b=5.1789 c=5.1789 alpha=90.00 beta=90.00 gamma=90.00
Positions (direct):
Sc  0.0000  0.5000  0.0000
Sc  0.0000  0.0000  0.5000
Sc  0.5000  0.0000  0.0000
Ag  0.5000  0.5000  0.5000
La  0.0000  0.0000  0.0000

## Properties
Formation energy ... 468 kJ/mol of formula units
Crystal system ... cubic
DOS(E_F) ... 7.02 states/eV per cell
Total DFT energy (no corrections) ... -4.39 eV per atom
Magnetic moment ... 0.00 Bohr magnetons per cell

Record 7
The following is a DFT calculation (PBE) of crystalline CsAc2OsO8 at its relaxed geometry.

Unit cell a=5.6070 b=4.4131 c=7.8158 alpha=74.02 beta=90.01 gamma=90.00
Positions (direct):
Cs  0.0000  0.0000  0.5000
Ac  0.5000  0.3740  0.7935
Ac  0.5000  0.6260  0.2065
Os  0.0000  0.0000  0.0000
O  0.0003  0.6645  0.2068
O  0.7412  0.8144  0.8979
O  0.7417  0.1855  0.1025
O  0.9997  0.3355  0.7932
O  0.2588  0.1856  0.1021
O  0.2583  0.8145  0.8975
O  0.5000  0.8324  0.4965
O  0.5000  0.1676  0.5035

## Properties
ΔE_f (raw) ... -23.74 eV/f.u.
Crystal system ... monoclinic
DOS(E_F) ... 3.22 states/eV per cell
Total DFT energy (no corrections) ... -6.98 eV per atom
Magnetic moment ... 0.96 Bohr magnetons per cell

Record 8
The following is a DFT calculation (PBE) of crystalline Cu2H3ClO3 at its relaxed geometry.

Unit cell a=6.1763 b=6.9181 c=9.2869 alpha=90.00 beta=101.04 gamma=90.00
Positions (direct):
Cu  0.2569  0.2638  0.2490
Cu  0.7569  0.2362  0.7490
Cu  0.7431  0.7362  0.7510
Cu  0.2431  0.7638  0.2510
Cu  0.0000  0.5000  0.5000
Cu  0.5000  0.0000  0.0000
Cu  0.5000  0.5000  0.5000
Cu  0.0000  0.0000  0.0000
H  0.7867  0.1848  0.4847
H  0.2867  0.3152  0.9847
H  0.2133  0.8152  0.5153
H  0.7133  0.6848  0.0153
H  0.7429  0.7881  0.4739
H  0.2429  0.7119  0.9739
H  0.2571  0.2119  0.5261
H  0.7571  0.2881  0.0261
H  0.9474  0.0170  0.2666
H  0.4474  0.4830  0.7666
H  0.0526  0.9830  0.7334
H  0.5526  0.5170  0.2334
Cl  0.8587  0.4922  0.1785
Cl  0.3587  0.0078  0.6785
Cl  0.1413  0.5078  0.8215
Cl  0.6413  0.9922  0.3215
O  0.4192  0.5175  0.2798
O  0.9192  0.9825  0.7798
O  0.5808  0.4825  0.7202
O  0.0808  0.0175  0.2202
O  0.2364  0.3250  0.4572
O  0.7364  0.1750  0.9572
O  0.7636  0.6750  0.5428
O  0.2636  0.8250  0.0428
O  0.1800  0.7080  0.4437
O  0.6800  0.7920  0.9437
O  0.8200  0.2920  0.5563
O  0.3200  0.2080  0.0563

## Properties
Crystal system ... monoclinic
DOS(E_F) ... 6.79 states/eV per cell
Total DFT energy (no corrections) ... -4.66 eV per atom
Magnetic moment ... 0.04 Bohr magnetons per cell